one.
First-principles (SCAN) data for a crystal of FeP2Cl relaxed with PBEsol, as listed in Alexandria via LeMat-Bulk.

Output
total moment: 3.56 μB per formula unit
space group: I4/mmm (139)
crystal system: tetragonal
density of states at the Fermi level: 1.8 states/eV/cell

abc: 3.3018 3.3018 6.4630
angles: 104.80 104.80 90.00
Fractional coordinates of all 4 atoms:
Fe: 0.0000 0.0000 0.0000
Cl: 0.5000 0.5000 0.0000
P: 0.7500 0.2500 0.5000
P: 0.2500 0.7500 0.5000

***

two.
First-principles (SCAN) data for a crystal of FeP2Cl relaxed with PBEsol, as listed in Alexandria via LeMat-Bulk.

Output
total moment: 3.57 μB per formula unit
space group: P4/mmm (123)
crystal system: tetragonal
density of states at the Fermi level: 3.9 states/eV/cell

abc: 3.3083 3.3083 6.0443
angles: 90.00 90.00 90.00
Fractional coordinates of all 4 atoms:
Cl: 0.5000 0.5000 0.5000
Fe: 0.0000 0.0000 0.5000
P: 0.5000 0.0000 0.0000
P: 0.0000 0.5000 0.0000

***

one takes first place; second place is 27 meV/atom up.

***

one.
First-principles (SCAN) data for a crystal of FeP2Cl relaxed with PBEsol, as listed in Alexandria via LeMat-Bulk.

Output
total moment: 3.17 μB per formula unit
space group: P4mm (99)
crystal system: tetragonal
density of states at the Fermi level: 1.8 states/eV/cell

abc: 3.0439 3.0439 6.6721
angles: 90.00 90.00 90.00
Fractional coordinates of all 4 atoms:
P: 0.5000 0.5000 0.1494
P: 0.0000 0.0000 0.9933
Fe: 0.5000 0.5000 0.7966
Cl: 0.0000 0.0000 0.5607

***

two.
First-principles (SCAN) data for a crystal of FeP2Cl relaxed with PBEsol, as listed in Alexandria via LeMat-Bulk.

Output
total moment: 0.00 μB per formula unit
space group: R-3m (166)
crystal system: trigonal
density of states at the Fermi level: 2.5 states/eV/cell

abc: 3.2524 3.2524 6.8047
angles: 76.17 76.17 60.00
Fractional coordinates of all 4 atoms:
P: 0.2733 0.2733 0.1801
P: 0.7267 0.7267 0.8199
Fe: 0.0000 0.0000 0.0000
Cl: 0.5000 0.5000 0.5000

***

one takes first place; second place is 111 meV/atom up.